A plane-wave DFT calculation with PBE was carried out for a relaxed Pu2Ni4Sb3Rh crystal.

DOS at the Fermi energy, states/eV/f.u.: 29.166
Uncorrected formation energy, eV per atom: -0.384

The structure in extended XYZ format:
```
10
Lattice="4.105 0.000 0.000 0.000 4.105 0.000 0.000 0.000 11.004" Properties=species:S:1:pos:R:3 pbc="T T T"
Pu 0.000 2.052 2.584
Pu 2.052 0.000 8.421
Ni 0.000 0.000 5.502
Ni 0.000 2.052 9.415
Ni 2.052 0.000 1.589
Ni 2.052 2.052 5.502
Sb 0.000 0.000 0.000
Sb 0.000 2.052 6.950
Sb 2.052 0.000 4.055
Rh 2.052 2.052 0.000
```

=====

A plane-wave DFT calculation with PBE was carried out for a relaxed PuNiSbRh crystal.

DOS at the Fermi energy, states/eV/f.u.: 10.540
Uncorrected formation energy, eV per atom: -0.334

The structure in extended XYZ format:
```
16
Lattice="6.636 0.000 0.000 0.000 6.636 0.000 0.000 0.000 6.636" Properties=species:S:1:pos:R:3 pbc="T T T"
Pu 0.000 0.000 0.000
Pu 0.000 3.318 3.318
Pu 3.318 0.000 3.318
Pu 3.318 3.318 0.000
Ni 1.659 1.659 4.977
Ni 1.659 4.977 1.659
Ni 4.977 1.659 1.659
Ni 4.977 4.977 4.977
Sb 0.000 0.000 3.318
Sb 0.000 3.318 0.000
Sb 3.318 0.000 0.000
Sb 3.318 3.318 3.318
Rh 1.659 1.659 1.659
Rh 1.659 4.977 4.977
Rh 4.977 1.659 4.977
Rh 4.977 4.977 1.659
```

=====

Number 1: raw total energy -7.535 eV per atom. Number 2: raw total energy -8.231 eV per atom.